Material: Y2Bi2W
Method: DFT, PBE-GGA
State: relaxed

Values from the calculation:
The formation enthalpy at 0 K comes out at 3.2 eV per formula unit. The calculation puts the magnetic moment at 3.88 μB per cell. The polymorph energy (0 for the lowest one) comes out at 18.19 kJ per mole of atoms. For the total energy, the calculation gives -60.949 eV/cell.

Unit cell a=4.195 b=4.195 c=17.086 alpha=90.00 beta=90.00 gamma=90.00
Space group I4/mmm (No. 139)
One atom of each set of equivalent atoms:
Y: 0.000 0.000 0.093
Bi: 0.000 0.500 0.250
W: 0.000 0.000 0.500